Pa2ZnGe2: optimized geometry, GGA-PBE.

Computed properties:
Relative energy among the computed polymorphs   0 meV/atom
Calculated formation energy   -1.6 eV per formula unit
Space group   No. 127

The structure in POSCAR format:
```
Pa2ZnGe2
1.0
-3.206 2.824 -1.364
-3.871 -1.823 5.327
2.800 4.985 3.741
Pa Zn Ge
4 2 4
Cartesian
-0.392 4.464 2.792 Pa
-1.918 4.282 6.003 Pa
-3.885 1.523 4.912 Pa
-2.359 1.704 1.701 Pa
0.000 0.000 0.000 Zn
-0.536 1.581 4.534 Zn
1.005 3.659 5.215 Ge
-1.596 1.563 6.989 Ge
-2.076 -0.497 3.853 Ge
0.525 1.600 2.078 Ge
```

TeCSe: optimized geometry, GGA-PBE.

Computed properties:
Relative energy among the computed polymorphs   113 meV/atom
Space group   No. 1
Raw formation energy   2.70 eV/f.u.

The structure in POSCAR format:
```
TeCSe
1.0
-0.201 -3.036 -1.363
-0.940 -1.836 4.201
-5.908 -0.153 1.194
C Te Se
1 1 1
Cartesian
-3.091 -1.909 3.834 C
-1.893 -3.611 3.371 Te
-4.848 -1.658 3.537 Se
```

Li2FeRh: optimized geometry, GGA-PBE.

Computed properties:
Calculated formation energy   0.3 eV per formula unit
Space group   No. 35

The structure in POSCAR format:
```
Li2FeRh
1.0
2.649 0.049 0.000
-1.175 2.375 0.000
0.000 0.000 9.059
Fe Li Rh
1 2 1
Cartesian
0.737 1.212 6.688 Fe
0.000 0.000 8.903 Li
0.737 1.212 2.466 Li
0.000 0.000 4.591 Rh
```